Here is an optimized crystal structure of PrSb2Pd3 from Alexandria via LeMat-Bulk. Energies are from PBE.

Cell lengths 16.631, 4.635, 6.731 Å; angles 90.00, 103.20, 90.00 degrees
Space group C2/m (No. 12)
Inequivalent atoms, fractional coordinates:
Pr 0.119 0.000 0.160 [4 per cell]
Sb 0.021 0.500 0.781 [4 per cell]
Sb 0.232 0.000 0.700 [4 per cell]
Pd 0.070 0.000 0.663 [4 per cell]
Pd 0.134 0.500 0.478 [4 per cell]
Pd 0.199 0.500 0.898 [4 per cell]

Fermi-level density of states: 3.35 states/eV/f.u.
uncorrected energy: -5.52 eV per atom
E above lowest polymorph: 36 meV/atom
crystal system: monoclinic
uncorrected formation energy: -0.75 eV/atom